This record from Alexandria via LeMat-Bulk describes a relaxed structure of ZnFeO2F. The functional is PBE with a Hubbard U.

Properties
calculated total energy = -4.573 eV per atom

Lattice parameters (Å, degrees): 3.8559 3.8559 3.9371 90.00 90.00 90.00
Last column: nearest neighbours and their distance in Å.
Space group P4/mmm (No. 123)
Unique sites:
Zn1 0.0000 0.0000 0.0000  4 O 1.93, 2 F 1.97
Fe1 0.5000 0.5000 0.5000  4 F 2.73, 8 O 2.76
O1 0.0000 0.5000 0.0000  2 Zn 1.93
F1 0.0000 0.0000 0.5000  2 Zn 1.97